VASP calculation (PBE with a Hubbard U) on a relaxed structure of Cr2SiO.

abc: 5.1771 5.1771 6.4527
angles: 66.35 66.35 90.00
Site moments in Bohr magnetons follow the coordinates.
Fractional coordinates of all 8 atoms:
1 Cr 0.5127 0.1250 0.2500  3.69
2 Cr 0.3750 0.4873 0.7500  3.68
3 O 0.5000 0.5000 0.0000  -0.12
4 Cr 0.2373 0.6250 0.2500  3.71
5 O 0.2500 0.7500 0.5000  -0.12
6 Si 0.0000 0.0000 0.0000  -0.20
7 Cr 0.8750 0.7627 0.7500  3.70
8 Si 0.7500 0.2500 0.5000  -0.20

Total magnetic moment in Bohr magnetons per cell: 14.47
ΔE to the lowest computed polymorph in meV/atom: 0
Energy in Ry per atom: -0.4820
SG: No. 122



VASP calculation (PBE with a Hubbard U) on a relaxed structure of Fe3O4F2.

abc: 5.5401 5.5059 6.9218
angles: 74.21 73.85 77.13
Site moments in Bohr magnetons follow the coordinates.
Fractional coordinates of all 18 atoms:
1 Fe 0.6371 0.6922 0.8325  3.01
2 F 0.9728 0.3677 0.8299  0.06
3 O 0.8888 0.9068 0.7958  -0.02
4 Fe 0.0000 0.0000 0.5000  4.20
5 O 0.4284 0.4358 0.8710  -0.20
6 O 0.3422 0.9877 0.8351  -0.12
7 Fe 0.0000 0.0000 0.0000  4.12
8 O 0.2362 0.2270 0.4668  -0.05
9 Fe 0.6673 0.6747 0.3281  1.08
10 F 0.6892 0.3153 0.4973  0.02
11 F 0.3108 0.6847 0.5027  0.02
12 O 0.5716 0.5642 0.1290  -0.20
13 F 0.0272 0.6323 0.1701  0.06
14 O 0.1112 0.0932 0.2042  -0.02
15 Fe 0.3629 0.3078 0.1675  3.01
16 O 0.6578 0.0123 0.1649  -0.12
17 O 0.7638 0.7730 0.5332  -0.05
18 Fe 0.3327 0.3253 0.6719  1.08

Total magnetic moment in Bohr magnetons per cell: 15.95
ΔE to the lowest computed polymorph in meV/atom: 314
Energy in Ry per atom: -0.4251
SG: No. 2